[1]
Zr3CO | PBE | relaxed

The structure in extended XYZ format:
```
10
Lattice="-3.4587 2.5065 -3.4802 -5.1046 -1.9537 -0.6955 -4.7814 3.6490 3.0185" Properties=species:S:1:pos:R:3 pbc="T T T"
O -3.8263 1.9317 0.8325
Zr -7.3120 2.0794 -2.8710
C -7.6267 3.8168 1.6056
Zr -8.3425 3.7963 -0.6104
Zr -5.4650 3.6607 0.7533
O -9.5184 2.2701 -1.9897
C -5.7180 0.3850 -2.7628
Zr -4.4707 1.8458 -1.4460
Zr -7.6810 1.4915 1.4892
Zr -6.7628 -0.2683 -0.7867
```

Summary:
As for the crystal system: trigonal. The value obtained for the energy relative to the elements, uncorrected is -0.9076 eV per atom.



[2]
PmYPd4 | PBE | relaxed

The structure in extended XYZ format:
```
6
Lattice="5.4826 0.0000 0.0000 2.7413 4.7480 0.0000 2.7413 1.5827 4.4765" Properties=species:S:1:pos:R:3 pbc="T T T"
Pd 5.4826 1.5800 2.7988
Pd 5.4826 3.1654 0.5567
Pm 2.7413 1.5827 1.1191
Pd 4.1096 3.9580 2.7988
Pd 6.8555 3.9580 2.7988
Y 0.0000 0.0000 0.0000
```

Summary:
As for the formation enthalpy at 0 K: -0.785 eV per atom. As for the crystal system: cubic.



- Number 2 is which compound?
  PmYPd4



Copy entry 2 word for word.
PmYPd4 | PBE | relaxed

The structure in extended XYZ format:
```
6
Lattice="5.4826 0.0000 0.0000 2.7413 4.7480 0.0000 2.7413 1.5827 4.4765" Properties=species:S:1:pos:R:3 pbc="T T T"
Pd 5.4826 1.5800 2.7988
Pd 5.4826 3.1654 0.5567
Pm 2.7413 1.5827 1.1191
Pd 4.1096 3.9580 2.7988
Pd 6.8555 3.9580 2.7988
Y 0.0000 0.0000 0.0000
```

Summary:
As for the formation enthalpy at 0 K: -0.785 eV per atom. As for the crystal system: cubic.